Here is a relaxed CdMoP2O crystal from Alexandria via LeMat-Bulk. Energies are from GGA+U.

Cell: 4.959 4.959 3.949 Å, 90.00 90.00 90.00°
Last column: magnetic moment on the atom in μB.
Fractional coordinates of all 5 atoms:
1 Mo 0.500 0.500 0.500  0.91
2 O 0.000 0.000 0.500  0.14
3 Cd 0.000 0.000 0.000  0.00
4 P 0.000 0.500 0.000  0.12
5 P 0.500 0.000 0.000  0.12

Summary:
The raw total energy is -3.502 eV/atom. As for the density of states at the Fermi level: 0.78 states/eV per atom. The space group is P4/mmm (123). Its energy above the lowest structure with this stoichiometry is 1255 meV/atom. For the total magnetization, the calculation gives 1.655 μB/cell.